(1)
Computed, not measured: a geometry-optimized LaCeNd4Se8 structure at the PBE-GGA level of DFT.

* total magnetization: 0.124 μB per atom
* total energy: -82.15 eV for the cell shown

Lattice parameters (Å, degrees): 8.7350 8.7350 8.7485 60.05 60.05 60.00
Site moments in Bohr magnetons follow the coordinates.
Fractional positions:
Ce (0.9993, 0.9993, 0.0020)  1.07
Nd (0.5020, 0.9993, 0.4993)  0.06
Nd (0.6247, 0.6247, 0.1259)  0.05
Nd (0.9993, 0.5020, 0.4993)  0.06
Nd (0.9993, 0.9993, 0.4993)  0.06
Se (0.7780, 0.2409, 0.7402)  -0.01
Se (0.7569, 0.7569, 0.7292)  0.00
Se (0.7569, 0.2282, 0.2579)  -0.01
Se (0.2409, 0.2409, 0.7402)  -0.01
Se (0.2411, 0.2411, 0.2767)  0.00
Se (0.2409, 0.7780, 0.7402)  -0.01
Se (0.2282, 0.7569, 0.2579)  -0.01
Se (0.7569, 0.7569, 0.2579)  -0.01
La (0.3754, 0.3754, 0.8737)  0.04


(2)
Computed, not measured: a geometry-optimized Ca2ScBiO structure at the PBE-GGA level of DFT.

* total magnetization: 0.027 μB per atom
* total energy: -26.26 eV for the cell shown

Lattice parameters (Å, degrees): 5.1365 5.1365 4.2938 90.00 90.00 90.00
Site moments in Bohr magnetons follow the coordinates.
Fractional positions:
Sc (0.0000, 0.0000, 0.5000)  0.07
Bi (0.5000, 0.5000, 0.5000)  0.00
O (0.0000, 0.0000, 0.0000)  0.00
Ca (0.0000, 0.5000, 0.0000)  0.01
Ca (0.5000, 0.0000, 0.0000)  0.01


(3)
Computed, not measured: a geometry-optimized Nb6Ga3Ir structure at the PBE-GGA level of DFT.

* total magnetization: 0.000 μB per atom
* ΔH_f (0 K): -0.0755 eV per atom

Lattice parameters (Å, degrees): 7.6755 6.4859 7.2367 90.00 82.38 90.00
Fractional positions:
Nb (0.1475, 0.3833, 0.4520)
Nb (0.2982, 0.1352, 0.7199)
Nb (0.7982, 0.3648, 0.2199)
Nb (0.7981, 0.6992, 0.9332)
Nb (0.2018, 0.6352, 0.7801)
Nb (0.2981, 0.8008, 0.4332)
Nb (0.6475, 0.1167, 0.9520)
Nb (0.3525, 0.8833, 0.0480)
Nb (0.2019, 0.3008, 0.0668)
Nb (0.7019, 0.1992, 0.5668)
Nb (0.8525, 0.6167, 0.5480)
Nb (0.7018, 0.8648, 0.2801)
Ga (0.5000, 0.5000, 0.0000)
Ga (0.4517, 0.1805, 0.3031)
Ga (0.0000, 0.0000, 0.5000)
Ga (0.5483, 0.8195, 0.6969)
Ga (0.0483, 0.6805, 0.1969)
Ga (0.9517, 0.3195, 0.8031)
Ir (0.0000, 0.0000, 0.0000)
Ir (0.5000, 0.5000, 0.5000)